No. 1
Crystalline CsK6Rb3 at its relaxed geometry. Source: the Alexandria database, functional PBE-GGA.

a = 8.996 Å, b = 8.996 Å, c = 12.117 Å
α = 90.00°, β = 90.00°, γ = 120.00°
Fractional positions:
K (0.487, 0.000, 0.819)
K (0.513, 0.513, 0.819)
Rb (0.000, 0.000, 0.500)
Cs (0.000, 0.000, 0.000)
K (0.000, 0.513, 0.181)
K (0.513, 0.000, 0.181)
K (0.000, 0.487, 0.819)
K (0.487, 0.487, 0.181)
Rb (0.333, 0.667, 0.500)
Rb (0.667, 0.333, 0.500)

Properties
E_form   36 meV per atom
VASP energy   -0.998 eV/atom

=====

No. 2
Crystalline CsK16Rb12 at its relaxed geometry. Source: the Alexandria database, functional PBE-GGA.

a = 14.657 Å, b = 14.657 Å, c = 14.314 Å
α = 109.00°, β = 109.00°, γ = 110.08°
Fractional positions:
K (0.313, 0.313, 0.727)
K (0.415, 0.004, 0.685)
K (0.726, 0.317, 0.321)
K (0.996, 0.996, 0.635)
K (0.275, 0.592, 0.587)
Rb (0.809, 0.189, 0.801)
K (0.351, 0.351, 0.363)
K (0.685, 0.402, 0.993)
K (0.317, 0.726, 0.321)
Cs (0.594, 0.594, 0.278)
K (0.592, 0.275, 0.587)
Rb (0.377, 0.188, 0.997)
Rb (0.625, 0.822, 0.637)
Rb (0.188, 0.377, 0.997)
Rb (0.189, 0.809, 0.801)
K (0.001, 0.684, 0.404)
K (0.684, 0.001, 0.404)
K (0.004, 0.415, 0.685)
K (0.003, 0.003, 0.000)
K (0.402, 0.685, 0.993)
K (0.004, 0.640, 0.006)
Rb (0.822, 0.625, 0.637)
Rb (0.001, 0.193, 0.385)
Rb (0.193, 0.001, 0.385)
Rb (0.379, 0.997, 0.193)
Rb (0.605, 0.605, 0.804)
Rb (0.997, 0.379, 0.193)
K (0.640, 0.004, 0.006)
Rb (0.812, 0.812, 0.175)

Properties
E_form   23 meV per atom
VASP energy   -1.012 eV/atom

=====

No. 3
Crystalline Cs4K4Rb5 at its relaxed geometry. Source: the Alexandria database, functional PBE-GGA.

a = 7.104 Å, b = 13.451 Å, c = 13.451 Å
α = 86.00°, β = 74.69°, γ = 74.69°
Fractional positions:
Rb (0.465, 0.232, 0.838)
Cs (0.234, 0.614, 0.917)
K (0.394, 0.676, 0.535)
K (0.070, 0.535, 0.324)
Cs (0.849, 0.917, 0.386)
Rb (0.535, 0.768, 0.162)
Cs (0.766, 0.386, 0.083)
K (0.606, 0.324, 0.465)
Cs (0.151, 0.083, 0.614)
Rb (0.303, 0.162, 0.232)
Rb (0.697, 0.838, 0.768)
K (0.930, 0.465, 0.676)
Rb (0.000, 0.000, 0.000)

Properties
E_form   9 meV per atom
VASP energy   -0.963 eV/atom

=====

No. 4
Crystalline Cs6KRb10 at its relaxed geometry. Source: the Alexandria database, functional PBE-GGA.

a = 10.170 Å, b = 13.990 Å, c = 13.990 Å
α = 120.00°, β = 90.00°, γ = 90.00°
Fractional positions:
Rb (0.156, 0.694, 0.000)
Cs (0.335, 0.346, 0.000)
K (0.500, 0.000, 0.000)
Cs (0.335, 0.000, 0.346)
Rb (0.156, 0.306, 0.306)
Rb (0.844, 0.306, 0.000)
Rb (0.844, 0.694, 0.694)
Cs (0.335, 0.654, 0.654)
Rb (0.500, 0.333, 0.667)
Rb (0.156, 0.000, 0.694)
Rb (0.500, 0.667, 0.333)
Rb (0.000, 0.333, 0.667)
Cs (0.665, 0.000, 0.654)
Cs (0.665, 0.346, 0.346)
Rb (0.000, 0.667, 0.333)
Cs (0.665, 0.654, 0.000)
Rb (0.844, 0.000, 0.306)

Properties
E_form   27 meV per atom
VASP energy   -0.908 eV/atom